Entry 1:
Below is ThMg2Au after structural relaxation, with properties calculated at the GGA-PBE level.

The space group is Cm (No. 8) and the conventional cell measures 5.949, 3.413 and 9.831 Å, with angles of 90.00, 101.82 and 90.00 degrees. Symmetry generates all atoms from Th at (0.000, 0.000, 0.000), Mg at (0.232, 0.000, 0.705), Mg at (0.431, 0.000, 0.301) and Au at (0.331, 0.500, 0.504).

The calculation puts the magnetization at 0.00 μB/f.u. The value obtained for the total energy is -3.6317 eV/atom. For the density, the calculation gives 8.12 Mg/m³.

Entry 2:
Below is Tl2RhPb after structural relaxation, with properties calculated at the GGA-PBE level.

The space group is I-42d (No. 122) and the conventional cell measures 9.219, 9.219 and 5.324 Å, with angles of 90.00, 90.00 and 90.00 degrees. Symmetry generates all atoms from Tl at (0.153, 0.750, 0.125), Rh at (0.000, 0.000, 0.000) and Pb at (0.000, 0.000, 0.500).

The calculation puts the magnetization at 0.00 μB/f.u. The value obtained for the total energy is -3.7672 eV/atom. For the density, the calculation gives 10.55 Mg/m³. The value obtained for the polymorph energy (0 for the lowest one) is 0.141 eV per atom.

Entry 3:
Below is PmTlTe2 after structural relaxation, with properties calculated at the GGA-PBE level.

The space group is R-3m (No. 166, hexagonal axes) and the conventional cell measures 4.5440, 4.5440 and 24.5378 Å, with angles of 90.00, 90.00 and 120.00 degrees. Symmetry generates all atoms from Pm at (0.0000, 0.0000, 0.0000), Tl at (0.0000, 0.0000, 0.5000) and Te at (0.0000, 0.0000, 0.2603).

The calculation puts the magnetization at 0.00 μB/f.u. The value obtained for the total energy is -4.4248 eV/atom. For the density, the calculation gives 6.86 Mg/m³. The energy relative to the elements, uncorrected comes out at -1075 meV per atom. The value obtained for the polymorph energy (0 for the lowest one) is 0.000 eV per atom.